No. 1
Density functional theory data (PBE) for a relaxed structure of LiNdSn2Rh4.

Lattice parameters (Å, degrees): 4.490 4.490 8.460 74.61 74.61 60.00
Positions (direct):
Rh 0.606 0.606 0.181
Rh 0.128 0.128 0.616
Rh 0.872 0.872 0.384
Rh 0.394 0.394 0.819
Sn 0.239 0.239 0.282
Sn 0.761 0.761 0.718
Li 0.500 0.500 0.500
Nd 0.000 0.000 0.000

Computed properties:
The crystal system is trigonal. As for the energy relative to the elements: -606 meV per atom.

***

No. 2
Density functional theory data (PBE) for a relaxed structure of LiNdThRh.

Lattice parameters (Å, degrees): 5.096 5.096 5.096 60.00 60.00 60.00
Positions (direct):
Rh 0.500 0.500 0.500
Li 0.000 0.000 0.000
Nd 0.250 0.250 0.250
Th 0.750 0.750 0.750

Computed properties:
The crystal system is cubic. As for the energy relative to the elements: -269 meV per atom.

***

No. 3
Density functional theory data (PBE) for a relaxed structure of LiNdTlRh.

Lattice parameters (Å, degrees): 4.883 4.883 4.883 60.00 60.00 60.00
Positions (direct):
Rh 0.500 0.500 0.500
Nd 0.250 0.250 0.250
Tl 0.750 0.750 0.750
Li 0.000 0.000 0.000

Computed properties:
The crystal system is cubic. As for the energy relative to the elements: -357 meV per atom.

***

No. 4
Density functional theory data (PBE) for a relaxed structure of LiNdTmRh.

Lattice parameters (Å, degrees): 4.987 4.987 4.987 60.00 60.00 60.00
Positions (direct):
Nd 0.750 0.750 0.750
Li 0.000 0.000 0.000
Rh 0.500 0.500 0.500
Tm 0.250 0.250 0.250

Computed properties:
The crystal system is cubic. As for the energy relative to the elements: -432 meV per atom.